# 1
{"formula": "Tl2PC2", "functional": "PBE-GGA", "state": "optimized geometry", "e_above_lowest_polymorph_mev_per_atom": 684, "m_tot_mub_per_fu": 0.0, "e_form_ev_per_fu": 8.7, "total_energy_ev_per_atom": -3.98, "vol_a3_per_cell": 174.4, "lattice": [[5.619, 0.000, 0.000], [0.000, 5.619, 0.000], [0.000, 0.000, 5.523]], "species": ["Tl", "Tl", "Tl", "Tl", "P", "P", "C", "C", "C", "C"], "frac_coords": [[0.190, 0.310, 0.000], [0.310, 0.810, 0.000], [0.690, 0.190, 0.000], [0.810, 0.690, 0.000], [0.000, 0.000, 0.500], [0.500, 0.500, 0.500], [0.242, 0.258, 0.500], [0.258, 0.758, 0.500], [0.742, 0.242, 0.500], [0.758, 0.742, 0.500]]}


# 2
{"formula": "Tl2PC2", "functional": "PBE-GGA", "state": "optimized geometry", "e_above_lowest_polymorph_mev_per_atom": 801, "m_tot_mub_per_fu": 0.0, "e_form_ev_per_fu": 9.3, "total_energy_ev_per_atom": -3.86, "vol_a3_per_cell": 85.1, "lattice": [[-1.381, 1.381, 11.161], [1.381, -1.381, 11.161], [1.381, 1.381, -11.161]], "species": ["Tl", "Tl", "P", "C", "C"], "frac_coords": [[0.129, 0.129, 0.000], [0.871, 0.871, 0.000], [0.500, 0.500, 0.000], [0.250, 0.750, 0.500], [0.750, 0.250, 0.500]]}


# 3
{"formula": "TlPC2", "functional": "PBE-GGA", "state": "optimized geometry", "e_above_lowest_polymorph_mev_per_atom": 1805, "m_tot_mub_per_fu": 0.0, "e_form_ev_per_fu": 10.6, "total_energy_ev_per_atom": -3.91, "vol_a3_per_cell": 53.9, "lattice": [[0.000, 2.998, 2.998], [2.998, 0.000, 2.998], [2.998, 2.998, 0.000]], "species": ["Tl", "P", "C", "C"], "frac_coords": [[0.000, 0.000, 0.000], [0.500, 0.500, 0.500], [0.250, 0.250, 0.250], [0.750, 0.750, 0.750]]}


# 4
{"formula": "Tl2PC2", "functional": "PBE-GGA", "state": "optimized geometry", "e_above_lowest_polymorph_mev_per_atom": 10, "m_tot_mub_per_fu": 0.0, "e_form_ev_per_fu": 5.3, "total_energy_ev_per_atom": -4.66, "vol_a3_per_cell": 99.1, "lattice": [[-2.892, 2.892, 2.964], [2.892, -2.892, 2.964], [2.892, 2.892, -2.964]], "species": ["Tl", "Tl", "P", "C", "C"], "frac_coords": [[0.250, 0.750, 0.500], [0.750, 0.250, 0.500], [0.000, 0.000, 0.000], [0.392, 0.392, 0.000], [0.608, 0.608, 0.000]]}


# 5
{"formula": "TlP2C", "functional": "PBE-GGA", "state": "optimized geometry", "e_above_lowest_polymorph_mev_per_atom": 1267, "m_tot_mub_per_fu": 0.0, "e_form_ev_per_fu": 7.8, "total_energy_ev_per_atom": -3.65, "vol_a3_per_cell": 67.1, "lattice": [[0.000, 3.226, 3.226], [3.226, 0.000, 3.226], [3.226, 3.226, 0.000]], "species": ["Tl", "P", "P", "C"], "frac_coords": [[0.000, 0.000, 0.000], [0.250, 0.250, 0.250], [0.750, 0.750, 0.750], [0.500, 0.500, 0.500]]}


# 6
{"formula": "TlPC2", "functional": "PBE-GGA", "state": "optimized geometry", "e_above_lowest_polymorph_mev_per_atom": 0, "m_tot_mub_per_fu": 0.0, "e_form_ev_per_fu": 3.4, "total_energy_ev_per_atom": -5.72, "vol_a3_per_cell": 103.4, "lattice": [[-2.439, 2.439, 4.349], [2.439, -2.439, 4.349], [2.439, 2.439, -4.349]], "species": ["Tl", "Tl", "P", "P", "C", "C", "C", "C"], "frac_coords": [[0.000, 0.000, 0.000], [0.750, 0.250, 0.500], [0.250, 0.750, 0.500], [0.500, 0.500, 0.000], [0.217, 0.625, 0.092], [0.375, 0.467, 0.592], [0.533, 0.125, 0.908], [0.875, 0.783, 0.408]]}


# 7
{"formula": "TlVP2C", "functional": "PBE-GGA", "state": "optimized geometry", "m_tot_mub_per_fu": 0.0, "e_form_ev_per_fu": 4.8, "total_energy_ev_per_atom": -5.36, "vol_a3_per_cell": 77.2, "lattice": [[4.386, 0.000, 0.000], [0.000, 4.386, 0.000], [0.000, 0.000, 4.014]], "species": ["Tl", "V", "P", "P", "C"], "frac_coords": [[0.000, 0.000, 0.000], [0.500, 0.500, 0.000], [0.000, 0.500, 0.500], [0.500, 0.000, 0.500], [0.500, 0.500, 0.500]]}


# 8
{"formula": "TlPWC2", "functional": "PBE-GGA", "state": "optimized geometry", "m_tot_mub_per_fu": 0.0, "e_form_ev_per_fu": 16.9, "total_energy_ev_per_atom": -4.45, "vol_a3_per_cell": 88.7, "lattice": [[4.116, 0.000, 0.000], [0.000, 4.116, 0.000], [0.000, 0.000, 5.234]], "species": ["Tl", "P", "W", "C", "C"], "frac_coords": [[0.000, 0.000, 0.000], [0.000, 0.000, 0.500], [0.500, 0.500, 0.500], [0.000, 0.500, 0.000], [0.500, 0.000, 0.000]]}


Question: Number 4 is which compound?
Answer: Tl2PC2